Entry 1:
Material: KNa2YF6
Method: DFT, PBE-GGA
State: optimized geometry

Geometry as CIF:
```
data_KNa2YF6
_chemical_formula_sum 'K3 Na6 Y3 F18'
_cell_length_a 6.0174
_cell_length_b 6.0174
_cell_length_c 16.0667
_cell_angle_alpha 90.00
_cell_angle_beta 90.00
_cell_angle_gamma 120.00
_symmetry_space_group_name_H-M 'R 3'
_symmetry_Int_Tables_number 146
_symmetry_space_group_name_Hall 'R 3'
loop_
_atom_site_label
_atom_site_fract_x
_atom_site_fract_y
_atom_site_fract_z
_atom_site_occupancy
K1 0.0000 0.0000 0.0000 1
Na1 0.0000 0.0000 0.2791 1
Na2 0.0000 0.0000 0.7877 1
Y1 0.0000 0.0000 0.4859 1
F1 0.0002 0.3465 0.2135 1
F2 0.0411 0.6214 0.0600 1
```

***

Entry 2:
Material: KNaY2F8
Method: DFT, PBE-GGA
State: optimized geometry

Geometry as CIF:
```
data_KNaY2F8
_chemical_formula_sum 'K1 Na1 Y2 F8'
_cell_length_a 5.923
_cell_length_b 3.878
_cell_length_c 7.734
_cell_angle_alpha 90.00
_cell_angle_beta 90.05
_cell_angle_gamma 90.00
_symmetry_space_group_name_H-M 'P 1 2/m 1'
_symmetry_Int_Tables_number 10
loop_
_symmetry_equiv_pos_as_xyz
'x,y,z'
'-x,-y,-z'
'-x,y,-z'
'x,-y,z'
loop_
_atom_site_label
_atom_site_fract_x
_atom_site_fract_y
_atom_site_fract_z
_atom_site_occupancy
K1 0.000 0.000 0.000 1
Na1 0.000 0.000 0.500 1
Y1 0.500 0.500 0.254 1
F1 0.278 0.500 0.500 1
F2 0.284 0.000 0.740 1
F3 0.285 0.000 0.260 1
F4 0.291 0.500 0.000 1
```

***

Entry 3:
Material: KNaYF5
Method: DFT, PBE-GGA
State: optimized geometry

Geometry as CIF:
```
data_KNaYF5
_chemical_formula_sum 'K4 Na4 Y4 F20'
_cell_length_a 7.276
_cell_length_b 10.700
_cell_length_c 8.306
_cell_angle_alpha 90.00
_cell_angle_beta 109.45
_cell_angle_gamma 90.00
_symmetry_space_group_name_H-M 'C 1 2/c 1'
_symmetry_Int_Tables_number 15
loop_
_symmetry_equiv_pos_as_xyz
'x,y,z'
'-x,-y,-z'
'-x,y,-z+1/2'
'x,-y,z+1/2'
'x+1/2,y+1/2,z'
'-x+1/2,-y+1/2,-z'
'-x+1/2,y+1/2,-z+1/2'
'x+1/2,-y+1/2,z+1/2'
loop_
_atom_site_label
_atom_site_fract_x
_atom_site_fract_y
_atom_site_fract_z
_atom_site_occupancy
K1 0.000 0.159 0.250 1
Na1 0.000 0.180 0.750 1
Y1 0.000 0.500 0.000 1
F1 0.000 0.424 0.250 1
F2 0.107 0.316 0.605 1
F3 0.195 0.053 0.935 1
```

***

Entry 4:
Material: K3NaZn2F9
Method: DFT, PBE-GGA
State: optimized geometry

Geometry as CIF:
```
data_K3NaZn2F9
_chemical_formula_sum 'K3 Na1 Zn2 F9'
_cell_length_a 5.8900
_cell_length_b 5.8900
_cell_length_c 7.2846
_cell_angle_alpha 90.00
_cell_angle_beta 90.00
_cell_angle_gamma 120.00
_symmetry_space_group_name_H-M 'P -3 m 1'
_symmetry_Int_Tables_number 164
_symmetry_space_group_name_Hall '-P 3 2"'
loop_
_atom_site_label
_atom_site_fract_x
_atom_site_fract_y
_atom_site_fract_z
_atom_site_occupancy
K1 0.0000 0.0000 0.0000 1
K2 0.3333 0.6667 0.6538 1
Na1 0.0000 0.0000 0.5000 1
Zn1 0.3333 0.6667 0.1612 1
F1 0.0000 0.5000 0.0000 1
F2 0.1743 0.3487 0.3139 1
```

***

Entry 5:
Material: K4NaZn3F12
Method: DFT, PBE-GGA
State: optimized geometry

Geometry as CIF:
```
data_K4NaZn3F12
_chemical_formula_sum 'K8 Na2 Zn6 F24'
_cell_length_a 8.341
_cell_length_b 8.341
_cell_length_c 8.341
_cell_angle_alpha 90.00
_cell_angle_beta 90.00
_cell_angle_gamma 90.00
_symmetry_space_group_name_H-M 'I m -3 m'
_symmetry_Int_Tables_number 229
_symmetry_space_group_name_Hall '-I 4 2 3'
loop_
_atom_site_label
_atom_site_fract_x
_atom_site_fract_y
_atom_site_fract_z
_atom_site_occupancy
K1 0.250 0.250 0.250 1
Na1 0.000 0.000 0.000 1
Zn1 0.000 0.000 0.500 1
F1 0.000 0.000 0.268 1
F2 0.000 0.250 0.500 1
```

***

Entry 6:
Material: KNaZnF6
Method: DFT, PBE-GGA
State: optimized geometry

Geometry as CIF:
```
data_KNaZnF6
_chemical_formula_sum 'K1 Na1 Zn1 F6'
_cell_length_a 5.7362
_cell_length_b 5.7362
_cell_length_c 5.3162
_cell_angle_alpha 90.00
_cell_angle_beta 90.00
_cell_angle_gamma 120.00
_symmetry_space_group_name_H-M 'P 3'
_symmetry_Int_Tables_number 143
loop_
_symmetry_equiv_pos_as_xyz
'x,y,z'
'-y,x-y,z'
'-x+y,-x,z'
loop_
_atom_site_label
_atom_site_fract_x
_atom_site_fract_y
_atom_site_fract_z
_atom_site_occupancy
K1 0.0000 0.0000 0.0000 1
Na1 0.3333 0.6667 0.5006 1
Zn1 0.6667 0.3333 0.4908 1
F1 0.3931 0.0528 0.6941 1
F2 0.4023 0.3568 0.2869 1
```

***

Entry 7:
Material: KNaZnF4
Method: DFT, PBE-GGA
State: optimized geometry

Geometry as CIF:
```
data_KNaZnF4
_chemical_formula_sum 'K2 Na2 Zn2 F8'
_cell_length_a 4.089
_cell_length_b 4.089
_cell_length_c 12.616
_cell_angle_alpha 90.00
_cell_angle_beta 90.00
_cell_angle_gamma 90.00
_symmetry_space_group_name_H-M 'I 4 m m'
_symmetry_Int_Tables_number 107
_symmetry_space_group_name_Hall 'I 4 -2'
loop_
_atom_site_label
_atom_site_fract_x
_atom_site_fract_y
_atom_site_fract_z
_atom_site_occupancy
K1 0.000 0.000 0.000 1
Na1 0.000 0.000 0.710 1
Zn1 0.000 0.000 0.355 1
F1 0.000 0.000 0.195 1
F2 0.000 0.000 0.520 1
F3 0.000 0.500 0.348 1
```

***

Entry 8:
Material: K2NaZnF
Method: DFT, PBE-GGA
State: optimized geometry

Geometry as CIF:
```
data_K2NaZnF
_chemical_formula_sum 'K2 Na1 Zn1 F1'
_cell_length_a 5.441
_cell_length_b 5.441
_cell_length_c 4.958
_cell_angle_alpha 90.00
_cell_angle_beta 90.00
_cell_angle_gamma 90.00
_symmetry_space_group_name_H-M 'P 4/m m m'
_symmetry_Int_Tables_number 123
_symmetry_space_group_name_Hall '-P 4 2'
loop_
_atom_site_label
_atom_site_fract_x
_atom_site_fract_y
_atom_site_fract_z
_atom_site_occupancy
K1 0.000 0.500 0.000 1
Na1 0.000 0.000 0.500 1
Zn1 0.500 0.500 0.500 1
F1 0.000 0.000 0.000 1
```

***

Entry 9:
Material: KNa2ZnF5
Method: DFT, PBE-GGA
State: optimized geometry

Geometry as CIF:
```
data_KNa2ZnF5
_chemical_formula_sum 'K2 Na4 Zn2 F10'
_cell_length_a 4.003
_cell_length_b 5.880
_cell_length_c 11.128
_cell_angle_alpha 90.00
_cell_angle_beta 90.00
_cell_angle_gamma 90.00
_symmetry_space_group_name_H-M 'I m m m'
_symmetry_Int_Tables_number 71
_symmetry_space_group_name_Hall '-I 2 2'
loop_
_atom_site_label
_atom_site_fract_x
_atom_site_fract_y
_atom_site_fract_z
_atom_site_occupancy
K1 0.000 0.000 0.000 1
Na1 0.000 0.500 0.214 1
Zn1 0.000 0.000 0.500 1
F1 0.000 0.238 0.364 1
F2 0.000 0.500 0.000 1
```

***

Entry 10:
Material: K3Na2ZnF9
Method: DFT, PBE-GGA
State: optimized geometry

Geometry as CIF:
```
data_K3Na2ZnF9
_chemical_formula_sum 'K3 Na2 Zn1 F9'
_cell_length_a 5.9956
_cell_length_b 5.9956
_cell_length_c 7.5307
_cell_angle_alpha 90.00
_cell_angle_beta 90.00
_cell_angle_gamma 120.00
_symmetry_space_group_name_H-M 'P -3 m 1'
_symmetry_Int_Tables_number 164
_symmetry_space_group_name_Hall '-P 3 2"'
loop_
_atom_site_label
_atom_site_fract_x
_atom_site_fract_y
_atom_site_fract_z
_atom_site_occupancy
K1 0.0000 0.0000 0.0000 1
K2 0.3333 0.6667 0.6839 1
Na1 0.3333 0.6667 0.1842 1
Zn1 0.0000 0.0000 0.5000 1
F1 0.0000 0.5000 0.0000 1
F2 0.1539 0.3077 0.3497 1
```

***

Entry 11:
Material: KNaZrF6
Method: DFT, PBE-GGA
State: optimized geometry

Geometry as CIF:
```
data_KNaZrF6
_chemical_formula_sum 'K2 Na2 Zr2 F12'
_cell_length_a 5.9419
_cell_length_b 5.9419
_cell_length_c 10.7875
_cell_angle_alpha 90.00
_cell_angle_beta 90.00
_cell_angle_gamma 120.00
_symmetry_space_group_name_H-M 'P -3 1 c'
_symmetry_Int_Tables_number 163
_symmetry_space_group_name_Hall '-P 3 2c'
loop_
_atom_site_label
_atom_site_fract_x
_atom_site_fract_y
_atom_site_fract_z
_atom_site_occupancy
K1 0.0000 0.0000 0.0000 1
Na1 0.3333 0.6667 0.2500 1
Zr1 0.3333 0.6667 0.7500 1
F1 0.0370 0.3902 0.6450 1
```

***

Entry 12:
Material: KNaZr2F
Method: DFT, PBE-GGA
State: optimized geometry

Geometry as CIF:
```
data_KNaZr2F
_chemical_formula_sum 'K1 Na1 Zr2 F1'
_cell_length_a 4.524
_cell_length_b 4.524
_cell_length_c 6.546
_cell_angle_alpha 90.00
_cell_angle_beta 90.00
_cell_angle_gamma 90.00
_symmetry_space_group_name_H-M 'P 4/m m m'
_symmetry_Int_Tables_number 123
_symmetry_space_group_name_Hall '-P 4 2'
loop_
_atom_site_label
_atom_site_fract_x
_atom_site_fract_y
_atom_site_fract_z
_atom_site_occupancy
K1 0.000 0.000 0.000 1
Na1 0.500 0.500 0.000 1
Zr1 0.000 0.500 0.500 1
F1 0.500 0.500 0.500 1
```

***

Entry 13:
Material: K6NbF12
Method: DFT, PBE-GGA
State: optimized geometry

Geometry as CIF:
```
data_K6NbF12
_chemical_formula_sum 'K18 Nb3 F36'
_cell_length_a 11.5776
_cell_length_b 11.5776
_cell_length_c 10.7930
_cell_angle_alpha 90.00
_cell_angle_beta 90.00
_cell_angle_gamma 120.00
_symmetry_space_group_name_H-M 'R -3'
_symmetry_Int_Tables_number 148
_symmetry_space_group_name_Hall '-R 3'
loop_
_atom_site_label
_atom_site_fract_x
_atom_site_fract_y
_atom_site_fract_z
_atom_site_occupancy
K1 0.0286 0.7918 0.1393 1
Nb1 0.0000 0.0000 0.5000 1
F1 0.0244 0.7962 0.8964 1
F2 0.0270 0.8777 0.3973 1
```

***

Entry 14:
Material: K2NbF2
Method: DFT, PBE-GGA
State: optimized geometry

Relative energy among the computed polymorphs, eV/f.u.: 1.24

Geometry as CIF:
```
data_K2NbF2
_chemical_formula_sum 'K4 Nb2 F4'
_cell_length_a 7.886
_cell_length_b 7.886
_cell_length_c 3.084
_cell_angle_alpha 90.00
_cell_angle_beta 90.00
_cell_angle_gamma 90.00
_symmetry_space_group_name_H-M 'P 4/m b m'
_symmetry_Int_Tables_number 127
_symmetry_space_group_name_Hall '-P 4 2ab'
loop_
_atom_site_label
_atom_site_fract_x
_atom_site_fract_y
_atom_site_fract_z
_atom_site_occupancy
K1 0.139 0.361 0.000 1
Nb1 0.000 0.000 0.500 1
F1 0.162 0.662 0.500 1
```

***

Entry 15:
Material: K2NbF
Method: DFT, PBE-GGA
State: optimized geometry

Relative energy among the computed polymorphs, eV/f.u.: 0.00

Geometry as CIF:
```
data_K2NbF
_chemical_formula_sum 'K8 Nb4 F4'
_cell_length_a 7.863
_cell_length_b 7.863
_cell_length_c 9.515
_cell_angle_alpha 90.00
_cell_angle_beta 90.00
_cell_angle_gamma 90.00
_symmetry_space_group_name_H-M 'I -4 2 d'
_symmetry_Int_Tables_number 122
_symmetry_space_group_name_Hall 'I -4 2bw'
loop_
_atom_site_label
_atom_site_fract_x
_atom_site_fract_y
_atom_site_fract_z
_atom_site_occupancy
K1 0.120 0.250 0.125 1
Nb1 0.000 0.000 0.500 1
F1 0.000 0.000 0.000 1
```

***

Entry 16:
Material: K2Nb3F10
Method: DFT, PBE-GGA
State: optimized geometry

Geometry as CIF:
```
data_K2Nb3F10
_chemical_formula_sum 'K4 Nb6 F20'
_cell_length_a 6.809
_cell_length_b 8.738
_cell_length_c 9.339
_cell_angle_alpha 110.25
_cell_angle_beta 108.04
_cell_angle_gamma 90.48
_symmetry_space_group_name_H-M 'P 1'
_symmetry_Int_Tables_number 1
loop_
_symmetry_equiv_pos_as_xyz
'x,y,z'
loop_
_atom_site_label
_atom_site_fract_x
_atom_site_fract_y
_atom_site_fract_z
_atom_site_occupancy
K1 0.000 0.000 0.000 1
K2 0.020 0.628 0.171 1
K3 0.622 0.899 0.339 1
K4 0.748 0.584 0.539 1
Nb1 0.124 0.274 0.736 1
Nb2 0.141 0.288 0.469 1
Nb3 0.299 0.815 0.624 1
Nb4 0.451 0.310 0.023 1
Nb5 0.461 0.800 0.902 1
Nb6 0.524 0.300 0.737 1
F1 0.136 0.753 0.764 1
F2 0.166 0.034 0.735 1
F3 0.170 0.068 0.323 1
F4 0.212 0.537 0.516 1
F5 0.223 0.471 0.964 1
F6 0.238 0.276 0.121 1
F7 0.314 0.820 0.065 1
F8 0.419 0.729 0.441 1
F9 0.459 0.311 0.508 1
F10 0.497 0.044 0.638 1
F11 0.504 0.070 0.014 1
F12 0.549 0.564 0.830 1
F13 0.610 0.529 0.172 1
F14 0.639 0.833 0.762 1
F15 0.726 0.290 0.955 1
F16 0.756 0.838 0.072 1
F17 0.846 0.387 0.733 1
F18 0.861 0.330 0.352 1
F19 0.931 0.123 0.500 1
F20 0.993 0.773 0.466 1
```

***

Entry 17:
Material: KNb3F9
Method: DFT, PBE-GGA
State: optimized geometry

Geometry as CIF:
```
data_KNb3F9
_chemical_formula_sum 'K4 Nb12 F36'
_cell_length_a 7.960
_cell_length_b 13.718
_cell_length_c 8.274
_cell_angle_alpha 90.00
_cell_angle_beta 90.00
_cell_angle_gamma 90.00
_symmetry_space_group_name_H-M 'C m c m'
_symmetry_Int_Tables_number 63
_symmetry_space_group_name_Hall '-C 2c 2'
loop_
_atom_site_label
_atom_site_fract_x
_atom_site_fract_y
_atom_site_fract_z
_atom_site_occupancy
K1 0.000 0.043 0.250 1
Nb1 0.000 0.500 0.000 1
Nb2 0.250 0.250 0.000 1
F1 0.000 0.197 0.045 1
F2 0.000 0.471 0.250 1
F3 0.211 0.404 0.541 1
F4 0.220 0.224 0.750 1
```

***

Entry 18:
Material: KNbF4
Method: DFT, PBE-GGA
State: optimized geometry

Geometry as CIF:
```
data_KNbF4
_chemical_formula_sum 'K4 Nb4 F16'
_cell_length_a 12.062
_cell_length_b 6.973
_cell_length_c 5.076
_cell_angle_alpha 90.00
_cell_angle_beta 111.04
_cell_angle_gamma 90.00
_symmetry_space_group_name_H-M 'C 1 2/m 1'
_symmetry_Int_Tables_number 12
loop_
_symmetry_equiv_pos_as_xyz
'x,y,z'
'-x,-y,-z'
'-x,y,-z'
'x,-y,z'
'x+1/2,y+1/2,z'
'-x+1/2,-y+1/2,-z'
'-x+1/2,y+1/2,-z'
'x+1/2,-y+1/2,z'
loop_
_atom_site_label
_atom_site_fract_x
_atom_site_fract_y
_atom_site_fract_z
_atom_site_occupancy
K1 0.176 0.000 0.351 1
Nb1 0.038 0.500 0.794 1
F1 0.000 0.254 0.000 1
F2 0.106 0.321 0.530 1
F3 0.209 0.500 0.047 1
```

***

Entry 19:
Material: K2NbF
Method: DFT, PBE-GGA
State: optimized geometry

Relative energy among the computed polymorphs, eV/f.u.: 1.72

Geometry as CIF:
```
data_K2NbF
_chemical_formula_sum 'K8 Nb4 F4'
_cell_length_a 8.084
_cell_length_b 8.084
_cell_length_c 8.084
_cell_angle_alpha 90.00
_cell_angle_beta 90.00
_cell_angle_gamma 90.00
_symmetry_space_group_name_H-M 'F m -3 m'
_symmetry_Int_Tables_number 225
_symmetry_space_group_name_Hall '-F 4 2 3'
loop_
_atom_site_label
_atom_site_fract_x
_atom_site_fract_y
_atom_site_fract_z
_atom_site_occupancy
K1 0.250 0.250 0.250 1
Nb1 0.000 0.000 0.000 1
F1 0.000 0.000 0.500 1
```

***

Entry 20:
Material: K2NbF2
Method: DFT, PBE-GGA
State: optimized geometry

Relative energy among the computed polymorphs, eV/f.u.: 0.00

Geometry as CIF:
```
data_K2NbF2
_chemical_formula_sum 'K4 Nb2 F4'
_cell_length_a 5.202
_cell_length_b 5.202
_cell_length_c 11.112
_cell_angle_alpha 90.00
_cell_angle_beta 90.00
_cell_angle_gamma 90.00
_symmetry_space_group_name_H-M 'I 4/m m m'
_symmetry_Int_Tables_number 139
_symmetry_space_group_name_Hall '-I 4 2'
loop_
_atom_site_label
_atom_site_fract_x
_atom_site_fract_y
_atom_site_fract_z
_atom_site_occupancy
K1 0.000 0.500 0.250 1
Nb1 0.000 0.000 0.000 1
F1 0.000 0.000 0.192 1
```

***

How do the records compare in uncorrected formation energy? In the order shown, they have -3.300 -3.678 -3.432 -2.477 -2.509 -1.994 -2.555 -0.921 -2.606 -2.329 -3.369 -0.076 -2.730 -0.917 -0.027 -2.675 -2.503 -2.766 0.402 -1.166 eV/atom.